The following is a GGA-PBE calculation of a relaxed structure of BPt, from Alexandria via LeMat-Bulk.

abc: 3.4466 3.4466 5.4090
angles: 90.00 90.00 120.00
Space group P6_3mc (No. 186)
Asymmetric unit:
B 0.3333 0.6667 0.0000 x2
Pt 0.3333 0.6667 0.3865 x2

Summary:
**DOS at the Fermi energy**: 0.49 states/eV per atom
**Magnetization**: 0.0 μB per cell
**Energy of formation**: 0.012 eV per atom


The following is a GGA-PBE calculation of a relaxed structure of NiAs2W, from Alexandria via LeMat-Bulk.

abc: 8.224 3.100 4.894
angles: 90.00 95.23 90.00
Space group C2/m (No. 12)
Asymmetric unit:
Ni 0.000 0.000 0.000 x2
As 0.227 0.000 0.736 x4
W 0.000 0.500 0.500 x2

Summary:
**DOS at the Fermi energy**: 0.83 states/eV per atom
**E above lowest polymorph**: 213 meV per atom
**Magnetization**: 0.0 μB per cell
**Energy of formation**: 0.251 eV per atom


The following is a GGA-PBE calculation of a relaxed structure of Nd6DyCd2, from Alexandria via LeMat-Bulk.

abc: 12.986 3.832 12.238
angles: 90.00 108.83 90.00
Space group C2/m (No. 12)
Asymmetric unit:
Nd 0.020 0.000 0.337 x4
Nd 0.184 0.500 0.877 x4
Nd 0.190 0.500 0.589 x4
Dy 0.000 0.000 0.000 x2
Cd 0.142 0.500 0.198 x4

Summary:
**DOS at the Fermi energy**: 1.03 states/eV per atom
**E above lowest polymorph**: 0 meV per atom
**Magnetization**: 0.0 μB per cell
**Energy of formation**: -0.132 eV per atom